Record 1
Material: Cu2SnPd4
Method: DFT, PBE-GGA
State: optimized geometry

- formation energy (kJ/mol of atoms) = -15.9

Cell lengths 7.3882, 7.3882, 7.3882 Å; angles 34.14, 34.14, 34.14 degrees
Fractional coordinates of all 7 atoms:
1 Cu 0.2490 0.2490 0.2490
2 Cu 0.7510 0.7510 0.7510
3 Sn 0.0000 0.0000 0.0000
4 Pd 0.1290 0.1290 0.1290
5 Pd 0.3826 0.3826 0.3826
6 Pd 0.6174 0.6174 0.6174
7 Pd 0.8710 0.8710 0.8710

***

Record 2
Material: Pr5Nd2Sm
Method: DFT, PBE-GGA
State: optimized geometry

- formation energy (kJ/mol of atoms) = 12.4
- energy above the lowest structure with this stoichiometry (meV/atom) = 116

Cell lengths 9.1783, 12.1256, 10.3009 Å; angles 90.00, 90.06, 90.00 degrees
Fractional coordinates of all 32 atoms:
1 Pr 0.0553 0.0000 0.4820
2 Pr 0.0556 0.3928 0.0157
3 Pr 0.1098 0.2752 0.4034
4 Pr 0.2228 0.8936 0.7544
5 Pr 0.2244 0.4991 0.7475
6 Pr 0.2758 0.8933 0.2524
7 Pr 0.2770 0.4989 0.2456
8 Pr 0.3906 0.1178 0.5975
9 Pr 0.4440 0.0000 0.9842
10 Pr 0.4452 0.3928 0.5180
11 Pr 0.5548 0.8928 0.4820
12 Pr 0.5560 0.5000 0.0158
13 Pr 0.6094 0.6178 0.4025
14 Pr 0.7230 0.9989 0.7544
15 Pr 0.7242 0.3933 0.7476
16 Pr 0.7756 0.9991 0.2525
17 Pr 0.7772 0.3936 0.2456
18 Pr 0.8902 0.7752 0.5966
19 Pr 0.9444 0.8928 0.9843
20 Pr 0.9447 0.5000 0.5180
21 Nd 0.0540 0.1950 0.7506
22 Nd 0.1087 0.1196 0.1000
23 Nd 0.3910 0.2734 0.9010
24 Nd 0.4460 0.1975 0.2498
25 Nd 0.5540 0.6975 0.7502
26 Nd 0.6090 0.7734 0.0990
27 Nd 0.8913 0.6196 0.9000
28 Nd 0.9460 0.6950 0.2494
29 Sm 0.2501 0.6962 0.0000
30 Sm 0.2498 0.6962 0.5000
31 Sm 0.7499 0.1962 0.0000
32 Sm 0.7502 0.1962 0.5000

***

Record 3
Material: Ac5RhPb2
Method: DFT, PBE-GGA
State: optimized geometry

- formation energy (kJ/mol of atoms) = -51.9
- energy above the lowest structure with this stoichiometry (meV/atom) = 0

Cell lengths 9.0479, 13.3059, 4.9277 Å; angles 90.00, 90.00, 90.00 degrees
Fractional coordinates of all 16 atoms:
1 Ac 0.0000 0.0000 0.0000
2 Ac 0.1332 0.3012 0.0000
3 Ac 0.1839 0.5682 0.5000
4 Ac 0.3161 0.0682 0.5000
5 Ac 0.3668 0.8012 0.0000
6 Ac 0.5000 0.5000 0.0000
7 Ac 0.6332 0.1988 0.0000
8 Ac 0.6839 0.9318 0.5000
9 Ac 0.8161 0.4318 0.5000
10 Ac 0.8668 0.6988 0.0000
11 Rh 0.0000 0.5000 0.0000
12 Rh 0.5000 0.0000 0.0000
13 Pb 0.0821 0.8273 0.5000
14 Pb 0.4179 0.3273 0.5000
15 Pb 0.5821 0.6727 0.5000
16 Pb 0.9179 0.1727 0.5000

***

Record 4
Material: Tl6Te4As
Method: DFT, PBE-GGA
State: optimized geometry

- E_form (uncorrected) (eV per atom) = -0.177

Cell lengths 10.9167, 10.9167, 8.1325 Å; angles 90.00, 90.00, 120.00 degrees
Fractional coordinates of all 22 atoms:
1 Tl 0.0660 0.5330 0.0000
2 Tl 0.1570 0.3140 0.6710
3 Tl 0.1570 0.8430 0.6710
4 Tl 0.3140 0.1570 0.1710
5 Tl 0.4670 0.5330 0.0000
6 Tl 0.4670 0.9340 0.0000
7 Tl 0.5330 0.0660 0.5000
8 Tl 0.5330 0.4670 0.5000
9 Tl 0.6860 0.8430 0.6710
10 Tl 0.8430 0.1570 0.1710
11 Tl 0.8430 0.6860 0.1710
12 Tl 0.9340 0.4670 0.5000
13 Te 0.1875 0.3750 0.2666
14 Te 0.1875 0.8125 0.2666
15 Te 0.3333 0.6667 0.7264
16 Te 0.3750 0.1875 0.7666
17 Te 0.6250 0.8125 0.2666
18 Te 0.6667 0.3333 0.2264
19 Te 0.8125 0.1875 0.7666
20 Te 0.8125 0.6250 0.7666
21 As 0.3333 0.6667 0.3261
22 As 0.6667 0.3333 0.8261

***

Record 5
Material: InCo2Pb
Method: DFT, PBE-GGA
State: optimized geometry

- formation energy (kJ/mol of atoms) = 36.2
- energy above the lowest structure with this stoichiometry (meV/atom) = 95

Cell lengths 3.2179, 3.2157, 6.4046 Å; angles 90.00, 90.74, 90.00 degrees
Fractional coordinates of all 4 atoms:
1 In 0.0000 0.0000 0.0000
2 Co 0.4953 0.5000 0.7620
3 Co 0.5047 0.5000 0.2380
4 Pb 0.0000 0.0000 0.5000

***

Record 6
Material: LuMg2Cd
Method: DFT, PBE-GGA
State: optimized geometry

- formation energy (kJ/mol of atoms) = -13.4
- energy above the lowest structure with this stoichiometry (meV/atom) = 0

Cell lengths 4.4272, 4.4272, 4.8326 Å; angles 90.00, 90.00, 90.00 degrees
Fractional coordinates of all 4 atoms:
1 Lu 0.0000 0.0000 0.0000
2 Mg 0.0000 0.5000 0.5000
3 Mg 0.5000 0.0000 0.5000
4 Cd 0.5000 0.5000 0.0000

***

Record 7
Material: SrAgTe2
Method: DFT, PBE-GGA
State: optimized geometry

- E_form (uncorrected) (eV per atom) = -0.117

Cell lengths 9.7681, 9.7681, 9.7681 Å; angles 25.19, 25.19, 25.19 degrees
Fractional coordinates of all 4 atoms:
1 Sr 0.0000 0.0000 0.0000
2 Ag 0.5000 0.5000 0.5000
3 Te 0.1122 0.1122 0.1122
4 Te 0.8878 0.8878 0.8878

***

Record 8
Material: MnRe2HRh
Method: DFT, PBE-GGA
State: optimized geometry

Cell lengths 3.8646, 3.8646, 3.8719 Å; angles 90.00, 90.00, 90.00 degrees
Fractional coordinates of all 5 atoms:
1 Mn 0.0000 0.0000 0.0000
2 Re 0.0000 0.5000 0.5000
3 Re 0.5000 0.0000 0.5000
4 H 0.0000 0.0000 0.5000
5 Rh 0.5000 0.5000 0.0000

***

Record 9
Material: Tb4Nd5Pu
Method: DFT, PBE-GGA
State: optimized geometry

- formation energy (kJ/mol of atoms) = 6.4

Cell lengths 8.7424, 8.7424, 11.5400 Å; angles 108.66, 108.66, 23.52 degrees
Fractional coordinates of all 10 atoms:
1 Tb 0.0823 0.0823 0.2880
2 Tb 0.3953 0.3953 0.2000
3 Tb 0.6047 0.6047 0.8000
4 Tb 0.9177 0.9177 0.7120
5 Nd 0.1863 0.1863 0.0787
6 Nd 0.2097 0.2097 0.6133
7 Nd 0.5000 0.5000 0.5000
8 Nd 0.7903 0.7903 0.3867
9 Nd 0.8137 0.8137 0.9213
10 Pu 0.5000 0.5000 0.0000

***

Record 10
Material: CsTi3Mo
Method: DFT, PBE-GGA
State: optimized geometry

- formation energy (kJ/mol of atoms) = 103.8
- energy above the lowest structure with this stoichiometry (meV/atom) = 0

Cell lengths 5.0179, 5.0179, 5.0179 Å; angles 90.00, 90.00, 90.00 degrees
Fractional coordinates of all 5 atoms:
1 Cs 0.0000 0.0000 0.0000
2 Ti 0.0000 0.5000 0.5000
3 Ti 0.5000 0.0000 0.5000
4 Ti 0.5000 0.5000 0.0000
5 Mo 0.5000 0.5000 0.5000

***

Record 11
Material: CoMo2N
Method: DFT, PBE-GGA
State: optimized geometry

- E_form (uncorrected) (eV per atom) = 0.414
- energy above the lowest structure with this stoichiometry (meV/atom) = 42

Cell lengths 7.9000, 7.9000, 7.9000 Å; angles 20.16, 20.16, 20.16 degrees
Fractional coordinates of all 4 atoms:
1 Co 0.0000 0.0000 0.0000
2 Mo 0.1040 0.1040 0.1040
3 Mo 0.8960 0.8960 0.8960
4 N 0.5000 0.5000 0.5000

***

Record 12
Material: CaHg4Pb2
Method: DFT, PBE-GGA
State: optimized geometry

- formation energy (kJ/mol of atoms) = -13.6
- energy above the lowest structure with this stoichiometry (meV/atom) = 41

Cell lengths 7.7294, 6.6360, 8.3325 Å; angles 90.00, 110.55, 90.00 degrees
Fractional coordinates of all 14 atoms:
1 Ca 0.2216 0.2500 0.4187
2 Ca 0.7784 0.7500 0.5813
3 Hg 0.1464 0.0072 0.7365
4 Hg 0.1464 0.4928 0.7365
5 Hg 0.4001 0.2500 0.1319
6 Hg 0.4858 0.7500 0.1826
7 Hg 0.5142 0.2500 0.8174
8 Hg 0.5999 0.7500 0.8681
9 Hg 0.8536 0.5072 0.2635
10 Hg 0.8536 0.9928 0.2635
11 Pb 0.0643 0.7500 0.0391
12 Pb 0.2864 0.7500 0.4820
13 Pb 0.7136 0.2500 0.5180
14 Pb 0.9357 0.2500 0.9609

***

| no. | calculated volume (Å³ per atom) | E_tot (eV/atom) | spin magnetization (μB/cell) |
| --- | --- | --- | --- |
| 1 | 16.18 | -4.874 | 0.00 |
| 2 | 35.83 | -4.640 | 0.00 |
| 3 | 37.08 | -4.951 | 0.00 |
| 4 | 38.15 | -3.033 | 0.00 |
| 5 | 16.57 | -4.789 | 1.51 |
| 6 | 23.68 | -2.295 | 0.00 |
| 7 | 37.14 | -2.821 | 0.00 |
| 8 | 11.57 | -8.880 | 1.03 |
| 9 | 33.27 | -5.603 | 6.01 |
| 10 | 25.27 | -5.999 | 1.63 |
| 11 | 12.81 | -8.859 | 1.21 |
| 12 | 28.59 | -1.659 | 0.00 |